No. 1
Compound: Pr3Sm4Mg4
Source: Alexandria
Functional: GGA-PBE
Structure: optimized geometry

a = 10.034 Å, b = 10.034 Å, c = 10.034 Å
α = 147.82°, β = 138.92°, γ = 53.12°
Atoms (fractional coordinates):
Pr 0.000 0.000 0.000
Pr 0.394 0.894 0.500
Pr 0.606 0.106 0.500
Sm 0.052 0.316 0.737
Sm 0.421 0.684 0.737
Sm 0.579 0.316 0.263
Sm 0.948 0.684 0.263
Mg 0.171 0.171 0.000
Mg 0.283 0.500 0.783
Mg 0.717 0.500 0.217
Mg 0.829 0.829 0.000

Output
Space group = Immm
ΔE_f = 1.1 eV per formula unit
ρ = 5.297 g cm⁻³

No. 2
Compound: PaGaGe
Source: Alexandria
Functional: GGA-PBE
Structure: optimized geometry

a = 4.836 Å, b = 4.836 Å, c = 5.833 Å
α = 90.00°, β = 90.00°, γ = 111.87°
Atoms (fractional coordinates):
Pa 0.158 0.842 0.750
Pa 0.842 0.158 0.250
Ga 0.500 0.500 0.000
Ga 0.500 0.500 0.500
Ge 0.202 0.798 0.250
Ge 0.798 0.202 0.750

Output
Space group = Cmcm
Energy above the lowest structure with this stoichiometry = 0.000 eV/atom
ΔE_f = -1.0 eV per formula unit
ρ = 9.796 g cm⁻³

No. 3
Compound: MnIrRh2
Source: Alexandria
Functional: GGA-PBE
Structure: optimized geometry

a = 4.336 Å, b = 4.336 Å, c = 4.336 Å
α = 60.00°, β = 60.00°, γ = 60.00°
Atoms (fractional coordinates):
Mn 0.000 0.000 0.000
Ir 0.750 0.750 0.750
Rh 0.250 0.250 0.250
Rh 0.500 0.500 0.500

Output
Space group = F-43m
ΔE_f = 0.7 eV per formula unit
ρ = 13.051 g cm⁻³

No. 4
Compound: DyNbCo10
Source: Alexandria
Functional: GGA-PBE
Structure: optimized geometry

a = 3.975 Å, b = 4.769 Å, c = 8.285 Å
α = 90.00°, β = 90.00°, γ = 90.00°
Atoms (fractional coordinates):
Dy 0.000 0.000 0.000
Nb 0.000 0.500 0.500
Co 0.000 0.000 0.345
Co 0.000 0.000 0.655
Co 0.000 0.500 0.181
Co 0.000 0.500 0.819
Co 0.500 0.000 0.500
Co 0.500 0.256 0.259
Co 0.500 0.256 0.741
Co 0.500 0.500 0.000
Co 0.500 0.744 0.259
Co 0.500 0.744 0.741

Output
Space group = Pmmm
ΔE_f = -0.2 eV per formula unit
ρ = 8.931 g cm⁻³

No. 5
Compound: BaNpU2S8
Source: Alexandria
Functional: GGA-PBE
Structure: optimized geometry

a = 6.279 Å, b = 8.410 Å, c = 6.384 Å
α = 90.00°, β = 91.88°, γ = 90.00°
Atoms (fractional coordinates):
Ba 0.000 0.000 0.000
Np 0.000 0.500 0.000
U 0.500 0.254 0.500
U 0.500 0.746 0.500
S 0.261 0.284 0.165
S 0.261 0.716 0.165
S 0.280 0.500 0.658
S 0.281 0.000 0.610
S 0.719 0.000 0.390
S 0.720 0.500 0.342
S 0.739 0.284 0.835
S 0.739 0.716 0.835

Output
Space group = P2/m
ρ = 5.456 g cm⁻³
ΔE_f (raw) = -1.286 eV per atom

No. 6
Compound: AgS2N2
Source: Alexandria
Functional: GGA-PBE
Structure: optimized geometry

a = 3.441 Å, b = 3.441 Å, c = 6.771 Å
α = 90.00°, β = 90.00°, γ = 90.00°
Atoms (fractional coordinates):
Ag 0.000 0.000 0.000
S 0.500 0.500 0.000
S 0.500 0.500 0.500
N 0.000 0.500 0.500
N 0.500 0.000 0.500

Output
Space group = P4/mmm
Energy above the lowest structure with this stoichiometry = 0.000 eV/atom
ρ = 4.144 g cm⁻³
ΔE_f (raw) = 1.374 eV per atom

No. 7
Compound: Nd2Al9Ir3
Source: Alexandria
Functional: GGA-PBE
Structure: optimized geometry

a = 7.610 Å, b = 7.610 Å, c = 9.611 Å
α = 90.00°, β = 90.00°, γ = 60.57°
Atoms (fractional coordinates):
Nd 0.005 0.671 0.750
Nd 0.329 0.995 0.750
Nd 0.671 0.005 0.250
Nd 0.995 0.329 0.250
Al 0.002 0.665 0.073
Al 0.002 0.665 0.427
Al 0.131 0.869 0.250
Al 0.334 0.666 0.547
Al 0.334 0.666 0.953
Al 0.335 0.998 0.073
Al 0.335 0.998 0.427
Al 0.340 0.453 0.250
Al 0.453 0.340 0.750
Al 0.547 0.660 0.250
Al 0.660 0.547 0.750
Al 0.665 0.002 0.573
Al 0.665 0.002 0.927
Al 0.666 0.334 0.047
Al 0.666 0.334 0.453
Al 0.869 0.131 0.750
Al 0.998 0.335 0.573
Al 0.998 0.335 0.927
Ir 0.000 0.000 0.000
Ir 0.000 0.000 0.500
Ir 0.329 0.329 0.000
Ir 0.329 0.329 0.500
Ir 0.671 0.671 0.000
Ir 0.671 0.671 0.500

Output
Space group = Cmcm
Energy above the lowest structure with this stoichiometry = 0.000 eV/atom
ΔE_f = -11.9 eV per formula unit
ρ = 7.591 g cm⁻³

No. 8
Compound: Na2AsHAu
Source: Alexandria
Functional: GGA-PBE
Structure: optimized geometry

a = 5.059 Å, b = 5.059 Å, c = 3.547 Å
α = 90.00°, β = 90.00°, γ = 90.00°
Atoms (fractional coordinates):
Na 0.000 0.500 0.000
Na 0.500 0.000 0.000
As 0.000 0.000 0.500
H 0.500 0.500 0.000
Au 0.500 0.500 0.500

Output
Space group = P4/mmm
ρ = 5.832 g cm⁻³
E = -14.7 eV/cell

No. 9
Compound: CsMgIn2Co
Source: Alexandria
Functional: GGA-PBE
Structure: optimized geometry

a = 5.120 Å, b = 5.120 Å, c = 5.261 Å
α = 90.00°, β = 90.00°, γ = 90.00°
Atoms (fractional coordinates):
Cs 0.000 0.000 0.000
Mg 0.500 0.500 0.000
In 0.000 0.500 0.500
In 0.500 0.000 0.500
Co 0.500 0.500 0.500

Output
Space group = P4/mmm
ΔE_f = 0.3 eV per formula unit
ρ = 5.368 g cm⁻³

No. 10
Compound: Ac2NdPd6Pb3
Source: Alexandria
Functional: GGA-PBE
Structure: optimized geometry

a = 4.124 Å, b = 4.124 Å, c = 19.243 Å
α = 90.00°, β = 90.00°, γ = 90.00°
Atoms (fractional coordinates):
Ac 0.000 0.000 0.115
Ac 0.000 0.000 0.885
Nd 0.000 0.000 0.500
Pd 0.000 0.500 0.390
Pd 0.000 0.500 0.610
Pd 0.500 0.000 0.390
Pd 0.500 0.000 0.610
Pd 0.500 0.500 0.152
Pd 0.500 0.500 0.848
Pb 0.500 0.500 0.000
Pb 0.500 0.500 0.293
Pb 0.500 0.500 0.707

Output
Space group = P4/mmm
ΔE_f = -5.0 eV per formula unit
ρ = 9.430 g cm⁻³

Question: ρ of number 7 (Nd2Al9Ir3)?
Answer: 7.591 g cm⁻³

Question: The highest ρ belongs to which entry?
Answer: MnIrRh2